The following is a DFT calculation (GGA-PBEsol) of SrAsI2 after structural relaxation.

Cell: 5.334 5.334 10.862 Å, 104.21 104.21 90.00°
Fractional positions:
I  0.849  0.375  0.250
I  0.401  0.875  0.250
I  0.625  0.599  0.750
I  0.125  0.151  0.750
Sr  0.250  0.750  0.500
Sr  0.000  0.000  0.000
As  0.750  0.250  0.500
As  0.500  0.500  0.000

Properties
SG: I-42d
Calculated total energy: -3.099 eV/atom
N(E_F): 0.69 states/eV/atom
Energy relative to the elements, uncorrected: -0.48 eV/atom
Theoretical density: 4.771 g/cm3